This record from OQMD describes a geometry-optimized DyY3Sn2C2 structure. The functional is PBE.

Cell: 3.6291 3.6291 15.8675 Å, 90.00 90.00 120.00°
Space group P3m1 (No. 156)
One atom of each set of equivalent atoms:
Dy1 0.0000 0.0000 0.0000 [1 per cell]
Y1 0.0000 0.0000 0.3310 [1 per cell]
Y2 0.3333 0.6667 0.5005 [1 per cell]
Y3 0.3333 0.6667 0.8307 [1 per cell]
Sn1 0.0000 0.0000 0.6658 [1 per cell]
Sn2 0.3333 0.6667 0.1657 [1 per cell]
C1 0.6667 0.3333 0.4159 [1 per cell]
C2 0.6667 0.3333 0.9162 [1 per cell]

Total energy ... -54.84 eV per cell
M_tot ... 0.047 μB/cell